(1)
DFT (PBE) results for a geometry-optimized PmP5 structure.

The structure in extended XYZ format:
```
12
Lattice="5.025 0.046 0.000 -1.193 5.313 0.000 0.000 0.000 9.561" Properties=species:S:1:pos:R:3 pbc="T T T"
Pm 4.206 3.509 2.390
P 1.954 5.092 8.690
P 1.878 0.266 0.872
P 0.362 4.786 7.171
P 3.471 0.573 2.390
P 0.981 2.155 0.285
P 0.981 2.155 4.496
P 2.851 3.203 5.066
P 1.954 5.092 5.652
P 2.851 3.203 9.276
P 1.878 0.266 3.909
Pm -0.374 1.849 7.171
```

Calculated volume (Å³/atom): 21.31
SG: P2_1/m (11)

(2)
DFT (PBE) results for a geometry-optimized PmP5 structure.

The structure in extended XYZ format:
```
6
Lattice="-1.413 2.590 -1.909 2.014 -1.924 -4.102 -5.928 -2.356 1.191" Properties=species:S:1:pos:R:3 pbc="T T T"
Pm 0.000 0.000 0.000
P -2.360 -1.460 -3.470
P 0.300 0.333 -3.005
P -2.968 -0.229 -1.350
P -0.393 -1.906 -2.295
P -3.521 -2.374 -0.615
```

Calculated volume (Å³/atom): 17.42
SG: Cmmm (65)

Which structure loses on stability? (2) does.

(1)
DFT (PBE) results for a geometry-optimized PmPrP structure.

The structure in extended XYZ format:
```
3
Lattice="-2.464 -2.604 -0.417 1.673 -1.984 2.508 -3.315 5.058 3.617" Properties=species:S:1:pos:R:3 pbc="T T T"
Pm -3.414 -0.046 4.839
Pr -1.562 -1.426 2.511
P -2.123 1.581 2.667
```

Calculated volume (Å³/atom): 28.52
SG: I4mm (107)

(2)
DFT (PBE) results for a geometry-optimized PmPrP structure.

The structure in extended XYZ format:
```
3
Lattice="-4.385 4.706 -2.036 -2.580 -2.890 -1.123 -0.144 1.487 3.747" Properties=species:S:1:pos:R:3 pbc="T T T"
P -4.368 4.687 -2.027
Pr -2.030 1.181 1.625
Pm -5.096 2.141 -1.045
```

Calculated volume (Å³/atom): 31.70
SG: P3m1 (156)

(3)
DFT (PBE) results for a geometry-optimized PmPrP structure.

The structure in extended XYZ format:
```
3
Lattice="-1.382 -3.576 3.024 2.439 -4.230 0.055 2.784 -1.163 3.839" Properties=species:S:1:pos:R:3 pbc="T T T"
Pr 0.000 0.000 0.000
P 0.960 -2.242 1.730
Pm 1.920 -4.484 3.459
```

Calculated volume (Å³/atom): 27.44
SG: F-43m (216)

Which structure loses on stability? (1) does.

(1)
DFT (PBE) results for a geometry-optimized PmPrP2 structure.

The structure in extended XYZ format:
```
4
Lattice="4.116 0.000 0.000 2.058 3.565 0.000 2.058 1.188 7.106" Properties=species:S:1:pos:R:3 pbc="T T T"
P 2.058 1.188 5.375
P 2.058 1.188 1.727
Pr 4.116 2.377 3.606
Pm 6.174 3.565 7.056
```

Calculated volume (Å³/atom): 26.07
SG: R3m (160)

(2)
DFT (PBE) results for a geometry-optimized PmPrP2 structure.

The structure in extended XYZ format:
```
8
Lattice="5.428 0.000 -2.292 -0.968 5.341 -2.292 -0.150 -0.179 7.218" Properties=species:S:1:pos:R:3 pbc="T T T"
P 1.589 5.153 3.763
P 1.047 1.254 2.480
P -0.477 2.679 -1.129
Pm 0.556 3.916 1.317
P 3.263 3.907 0.154
Pr 3.754 1.246 1.317
Pr 0.000 0.000 0.000
Pm 2.230 2.670 -2.292
```

Calculated volume (Å³/atom): 25.60
SG: I4_1/amd (141)

(3)
DFT (PBE) results for a geometry-optimized PmPrP2 structure.

The structure in extended XYZ format:
```
4
Lattice="-0.426 -3.054 4.030 1.399 -4.866 -0.344 4.163 -1.619 2.408" Properties=species:S:1:pos:R:3 pbc="T T T"
P 1.284 -2.385 1.524
Pm 0.000 0.000 0.000
Pr 2.568 -4.770 3.047
P 3.852 -7.154 4.571
```

Calculated volume (Å³/atom): 23.10
SG: Fm-3m (225)

Which structure loses on stability? (3) does.

(1)
DFT (PBE) results for a geometry-optimized PmPrP2 structure.

The structure in extended XYZ format:
```
4
Lattice="4.171 0.013 0.015 2.074 3.618 0.015 2.059 1.197 6.812" Properties=species:S:1:pos:R:3 pbc="T T T"
Pr 4.152 2.414 3.421
Pm 0.000 0.000 0.000
P 2.076 1.207 1.682
P 6.228 3.621 5.159
```

Calculated volume (Å³/atom): 25.61
SG: R-3m (166)

(2)
DFT (PBE) results for a geometry-optimized PmPrP2 structure.

The structure in extended XYZ format:
```
4
Lattice="-2.297 2.095 -1.787 2.421 -1.044 -4.336 -3.054 -3.984 -0.745" Properties=species:S:1:pos:R:3 pbc="T T T"
Pm -1.148 1.048 -0.893
P -1.527 -1.992 -0.373
P 1.210 -0.522 -2.168
Pr -1.465 -1.466 -3.434
```

Calculated volume (Å³/atom): 23.09
SG: P4/mmm (123)

Which structure loses on stability? (2) does.

(1)
DFT (PBE) results for a geometry-optimized Pm4PPt2 structure.

The structure in extended XYZ format:
```
14
Lattice="-1.679 -8.216 -1.408 8.335 -1.679 -0.101 -3.457 3.959 6.681" Properties=species:S:1:pos:R:3 pbc="T T T"
Pt -0.516 -2.796 4.093
Pm -1.263 -6.282 0.553
Pt 5.380 -5.615 0.702
P -3.457 3.958 6.681
Pm -2.871 -4.442 3.661
Pt 1.212 -4.775 0.753
Pm -0.484 -2.463 1.209
Pm 3.687 -3.268 0.952
Pm 1.838 -1.149 4.525
Pm 2.909 -7.087 0.296
Pm 1.003 -5.225 3.615
Pt 0.323 1.312 4.797
P 4.102 -1.333 2.913
Pm -2.036 -0.367 4.572
```

Calculated volume (Å³/atom): 31.04
SG: Fd-3m (227)

(2)
DFT (PBE) results for a geometry-optimized Pm4PPt2 structure.

The structure in extended XYZ format:
```
7
Lattice="-1.647 -2.022 -4.769 -0.278 -4.963 2.200 -5.720 4.669 3.093" Properties=species:S:1:pos:R:3 pbc="T T T"
Pm -0.139 -2.481 1.100
Pt -5.301 0.934 1.435
P 0.000 0.000 0.000
Pm -0.823 -1.011 -2.385
Pm -2.667 0.470 0.722
Pm -4.978 -2.785 -0.198
Pt -2.344 -3.249 -0.911
```

Calculated volume (Å³/atom): 29.64
SG: I4/mmm (139)

Which structure loses on stability? (2) does.

(1)
DFT (PBE) results for a geometry-optimized PmPuP structure.

The structure in extended XYZ format:
```
3
Lattice="-0.889 1.887 4.335 0.585 -2.676 3.954 3.635 0.923 3.013" Properties=species:S:1:pos:R:3 pbc="T T T"
Pm 1.665 0.067 5.651
Pu 0.000 0.000 0.000
P 0.833 0.033 2.825
```

Calculated volume (Å³/atom): 26.24
SG: F-43m (216)

(2)
DFT (PBE) results for a geometry-optimized PmPuP structure.

The structure in extended XYZ format:
```
3
Lattice="-4.249 1.273 -4.863 0.534 -3.553 -1.396 -2.774 0.654 2.595" Properties=species:S:1:pos:R:3 pbc="T T T"
P -0.019 0.006 -0.022
Pm -3.709 -1.210 -3.660
Pu -2.761 -0.422 0.018
```

Calculated volume (Å³/atom): 28.23
SG: P3m1 (156)

(3)
DFT (PBE) results for a geometry-optimized PmPuP structure.

The structure in extended XYZ format:
```
3
Lattice="-3.440 -0.577 0.945 -0.240 -2.622 -2.475 3.578 -2.287 4.714" Properties=species:S:1:pos:R:3 pbc="T T T"
Pu 1.125 -2.515 2.555
P -0.300 -5.044 2.735
Pm -1.550 -2.248 -0.106
```

Calculated volume (Å³/atom): 25.28
SG: I4mm (107)

Which structure loses on stability? (3) does.

(1)
DFT (PBE) results for a geometry-optimized PmReP structure.

The structure in extended XYZ format:
```
3
Lattice="-2.220 -0.030 -3.800 3.270 -1.427 -1.899 -2.691 -2.561 1.592" Properties=species:S:1:pos:R:3 pbc="T T T"
Pm -0.197 -1.825 -3.269
P -1.074 -2.188 -0.205
Re -0.370 -0.005 -0.633
```

Calculated volume (Å³/atom): 20.75
SG: P-6m2 (187)

(2)
DFT (PBE) results for a geometry-optimized PmReP structure.

The structure in extended XYZ format:
```
3
Lattice="3.199 0.000 0.000 0.000 3.199 0.000 -1.600 -1.600 5.433" Properties=species:S:1:pos:R:3 pbc="T T T"
Re 0.000 0.000 3.210
P 1.600 1.600 2.213
Pm 0.000 0.000 0.010
```

Calculated volume (Å³/atom): 18.54
SG: I4mm (107)

(3)
DFT (PBE) results for a geometry-optimized PmReP structure.

The structure in extended XYZ format:
```
6
Lattice="4.218 0.000 0.000 0.000 3.478 0.000 0.000 1.739 8.194" Properties=species:S:1:pos:R:3 pbc="T T T"
Re 1.054 1.739 3.658
Re 3.163 3.478 4.535
Pm 3.163 3.478 1.525
P 1.054 1.739 1.281
P 3.163 3.478 6.913
Pm 1.054 1.739 6.669
```

Calculated volume (Å³/atom): 20.03
SG: Cmcm (63)

Which structure loses on stability? (3) does.

(1)
DFT (PBE) results for a geometry-optimized Pm2ReP structure.

The structure in extended XYZ format:
```
4
Lattice="-0.594 0.288 3.606 -2.715 -2.451 -0.252 4.270 -4.843 1.091" Properties=species:S:1:pos:R:3 pbc="T T T"
P 0.480 -3.503 2.223
Pm 1.104 -1.252 0.282
Pm 3.167 -3.591 0.809
Re -1.655 -1.081 1.677
```

Calculated volume (Å³/atom): 22.00
SG: P4/mmm (123)

(2)
DFT (PBE) results for a geometry-optimized Pm2ReP structure.

The structure in extended XYZ format:
```
4
Lattice="5.020 0.000 0.000 2.510 4.348 0.000 2.510 1.449 4.099" Properties=species:S:1:pos:R:3 pbc="T T T"
Pm 7.530 4.348 3.074
Pm 2.510 1.449 1.025
Re 0.000 0.000 0.000
P 5.020 2.898 2.049
```

Calculated volume (Å³/atom): 22.36
SG: Fm-3m (225)

Which structure loses on stability? (2) does.

(1)
DFT (PBE) results for a geometry-optimized PmPRh structure.

The structure in extended XYZ format:
```
3
Lattice="4.094 0.000 0.000 0.000 4.089 0.000 0.000 -2.045 3.541" Properties=species:S:1:pos:R:3 pbc="T T T"
Pm 2.729 2.045 1.180
Rh 0.682 0.000 2.361
P 0.683 0.000 0.000
```

Calculated volume (Å³/atom): 19.76
SG: P-6m2 (187)

(2)
DFT (PBE) results for a geometry-optimized PmPRh structure.

The structure in extended XYZ format:
```
3
Lattice="3.231 0.000 0.000 0.000 3.231 0.000 -1.615 -1.615 6.340" Properties=species:S:1:pos:R:3 pbc="T T T"
P 1.615 1.615 2.919
Pm 1.615 1.615 5.721
Rh 0.000 0.000 2.138
```

Calculated volume (Å³/atom): 22.05
SG: I4mm (107)

Which structure loses on stability? (2) does.

(1)
DFT (PBE) results for a geometry-optimized PmPRu structure.

The structure in extended XYZ format:
```
3
Lattice="4.228 0.000 0.000 0.000 4.042 0.000 0.000 -2.021 3.501" Properties=species:S:1:pos:R:3 pbc="T T T"
Ru 0.698 0.000 2.334
P 0.708 0.000 0.000
Pm 2.822 2.021 1.167
```

Calculated volume (Å³/atom): 19.94
SG: P3m1 (156)

(2)
DFT (PBE) results for a geometry-optimized PmPRu structure.

The structure in extended XYZ format:
```
6
Lattice="-1.089 1.877 3.403 -1.750 -3.392 1.311 6.189 -2.000 3.084" Properties=species:S:1:pos:R:3 pbc="T T T"
Ru 4.163 -1.555 6.085
Pm 0.512 -1.138 2.293
P 3.587 -2.132 3.825
Pm 1.295 -2.607 5.747
Ru 3.833 -4.190 5.039
P -1.779 -1.614 4.215
```

Calculated volume (Å³/atom): 19.54
SG: P4/nmm (129)

Which structure loses on stability? (1) does.

(1)
DFT (PBE) results for a geometry-optimized PmP2Ru4 structure.

The structure in extended XYZ format:
```
14
Lattice="3.810 0.000 0.000 0.000 7.536 0.000 0.000 0.000 7.536" Properties=species:S:1:pos:R:3 pbc="T T T"
Pm 1.905 0.000 0.000
Ru 0.000 6.975 4.988
Ru 0.000 0.561 2.548
P 0.000 1.694 5.843
Ru 1.905 1.220 4.329
P 0.000 5.843 1.694
Ru 0.000 4.988 6.975
P 1.905 2.075 2.075
Ru 1.905 3.207 6.317
Ru 1.905 4.329 1.220
P 1.905 5.462 5.462
Ru 1.905 6.317 3.207
Ru 0.000 2.548 0.561
Pm 0.000 3.768 3.768
```

Calculated volume (Å³/atom): 15.46
SG: P4_2/mnm (136)

(2)
DFT (PBE) results for a geometry-optimized PmP2Ru4 structure.

The structure in extended XYZ format:
```
7
Lattice="3.994 0.000 0.000 0.000 3.869 -1.149 0.000 -0.006 7.069" Properties=species:S:1:pos:R:3 pbc="T T T"
Ru 0.000 1.221 4.109
P 1.997 1.578 5.314
P 1.997 2.285 0.606
Ru 1.997 0.694 2.336
Ru 1.997 3.169 3.584
Ru 0.000 2.643 1.810
Pm 0.000 0.000 0.000
```

Calculated volume (Å³/atom): 15.60
SG: Cmmm (65)

Which structure loses on stability? (2) does.